LiAcPuPb, optimized geometry, DFT PBE; density = 9767 kg/m³; space group = F-43m; ΔH_f (0 K) = 0.07 eV/atom
1.0
0.0000 3.8762 3.8762
3.8762 0.0000 3.8762
3.8762 3.8762 0.0000
Li Ac Pu Pb
1 1 1 1
Cartesian
0.0000 0.0000 0.0000
1.9381 1.9381 1.9381
3.8762 3.8762 3.8762
5.8143 5.8143 5.8143